This record from the Alexandria database describes Fe3AuSe after structural relaxation. The functional is PBE.

Cell lengths 4.3791, 4.3791, 4.3791 Å; angles 90.00, 90.00, 90.00 degrees
Fractional coordinates of all 5 atoms:
1 Fe 0.0000 0.0000 0.5000
2 Fe 0.0000 0.5000 0.0000
3 Fe 0.5000 0.0000 0.0000
4 Au 0.5000 0.5000 0.5000
5 Se 0.0000 0.0000 0.0000

Computed properties:
* SG: Pm-3m
* theoretical density: 8.77 g cm⁻³
* total moment: 6.90 μB/f.u.

***

This record from the Alexandria database describes FeAuSe2 after structural relaxation. The functional is PBE.

Cell lengths 3.5569, 3.6839, 7.1297 Å; angles 90.00, 90.00, 90.00 degrees
Fractional coordinates of all 4 atoms:
1 Fe 0.0000 0.0000 0.0000
2 Au 0.0000 0.5000 0.5000
3 Se 0.5000 0.0000 0.5000
4 Se 0.5000 0.5000 0.0000

Computed properties:
* SG: Pmmm
* theoretical density: 7.30 g cm⁻³
* total moment: 3.75 μB/f.u.

***

This record from the Alexandria database describes Th4FeAuSe2 after structural relaxation. The functional is PBE.

Cell lengths 7.1892, 4.1579, 7.5821 Å; angles 90.00, 107.23, 90.00 degrees
Fractional coordinates of all 8 atoms:
1 Th 0.2243 0.0000 0.2754
2 Th 0.2267 0.5000 0.7200
3 Th 0.7733 0.5000 0.2800
4 Th 0.7757 0.0000 0.7246
5 Fe 0.0000 0.0000 0.5000
6 Au 0.5000 0.5000 0.5000
7 Se 0.0000 0.5000 0.0000
8 Se 0.5000 0.0000 0.0000

Computed properties:
* SG: P2/m
* theoretical density: 10.27 g cm⁻³
* total moment: 0.00 μB/f.u.

***

This record from the Alexandria database describes Tl2FeAuSe after structural relaxation. The functional is PBE.

Cell lengths 5.3236, 5.3236, 4.3576 Å; angles 90.00, 90.00, 90.00 degrees
Fractional coordinates of all 5 atoms:
1 Tl 0.0000 0.5000 0.0000
2 Tl 0.5000 0.0000 0.0000
3 Fe 0.0000 0.0000 0.0000
4 Au 0.5000 0.5000 0.5000
5 Se 0.0000 0.0000 0.5000

Computed properties:
* SG: P4/mmm
* theoretical density: 9.96 g cm⁻³
* total moment: 0.45 μB/f.u.

***

This record from the Alexandria database describes Fe2SiAu after structural relaxation. The functional is PBE.

Cell lengths 8.2426, 2.8269, 4.7900 Å; angles 90.00, 99.84, 90.00 degrees
Fractional coordinates of all 8 atoms:
1 Fe 0.0000 0.0000 0.0000
2 Fe 0.2396 0.5000 0.2061
3 Fe 0.5000 0.5000 0.0000
4 Fe 0.7396 0.0000 0.2061
5 Si 0.2581 0.0000 0.7936
6 Si 0.7581 0.5000 0.7936
7 Au 0.4966 0.0000 0.4996
8 Au 0.9966 0.5000 0.4996

Computed properties:
* SG: Cm
* theoretical density: 10.17 g cm⁻³
* total moment: 4.73 μB/f.u.

***

This record from the Alexandria database describes FeSiAu2 after structural relaxation. The functional is PBE.

Cell lengths 2.9085, 2.9085, 7.6443 Å; angles 90.00, 90.00, 90.00 degrees
Fractional coordinates of all 4 atoms:
1 Fe 0.0000 0.0000 0.0000
2 Si 0.0000 0.0000 0.5000
3 Au 0.5000 0.5000 0.2423
4 Au 0.5000 0.5000 0.7577

Computed properties:
* SG: P4/mmm
* theoretical density: 12.27 g cm⁻³
* total moment: 2.98 μB/f.u.

***

The records above give, respectively, raw formation energy values of 3.204; 1.296; -7.161; 1.170; 0.297; 0.983 eV/f.u..